A relaxed structure of ZrSb2TeN. Source: the Alexandria database, functional GGA-PBE.

Symmetry: P4/mmm, No. 123
DOS(E_F) in states/eV per cell: 2.5
ΔE_f (raw) in eV/atom: 0.33
V in Å³ per cell: 105.2
Polymorph energy (0 for the lowest one) in meV per atom: 78
Total magnetic moment in μB per formula unit: 0.0

Unit cell a=4.7510 b=4.7510 c=4.6621 alpha=90.00 beta=90.00 gamma=90.00
Element x y z (fractional)
Zr (0.0000, 0.0000, 0.0000)
Sb (0.0000, 0.5000, 0.5000)
Sb (0.5000, 0.0000, 0.5000)
Te (0.5000, 0.5000, 0.0000)
N (0.5000, 0.5000, 0.5000)